No. 1
# AlVGa | Alexandria via LeMat-Bulk | GGA-PBE | optimized geometry
# Distance to the lowest polymorph of the same formula in eV/atom: 0.1181
# Total energy in eV per atom: -5.37
# Total magnetic moment in μB per formula unit: 0.0
data_AlVGa
_chemical_formula_sum 'Al1 V1 Ga1'
_cell_length_a 4.3616
_cell_length_b 4.3616
_cell_length_c 2.6699
_cell_angle_alpha 90.00
_cell_angle_beta 90.00
_cell_angle_gamma 120.00
_space_group_name_H-M_alt 'P 3 m 1'
_space_group_IT_number 156
loop_
_space_group_symop_operation_xyz
'x,y,z'
'-y,x-y,z'
'-x+y,-x,z'
'-y,-x,z'
'-x+y,y,z'
'x,x-y,z'
loop_
_atom_site_label
_atom_site_fract_x
_atom_site_fract_y
_atom_site_fract_z
Al1 0.0000 0.0000 0.0000
V1 0.6667 0.3333 0.4989
Ga1 0.3333 0.6667 0.9965

---

No. 2
# Al8V2Ga | Alexandria via LeMat-Bulk | GGA-PBE | optimized geometry
# Total energy in eV per atom: -4.52
# Total magnetic moment in μB per formula unit: 0.0
data_Al8V2Ga
_chemical_formula_sum 'Al16 V4 Ga2'
_cell_length_a 11.7045
_cell_length_b 6.9394
_cell_length_c 4.8915
_cell_angle_alpha 90.00
_cell_angle_beta 105.00
_cell_angle_gamma 90.00
_space_group_name_H-M_alt 'C 1 2/m 1'
_space_group_IT_number 12
loop_
_space_group_symop_operation_xyz
'x,y,z'
'-x,-y,-z'
'-x,y,-z'
'x,-y,z'
'x+1/2,y+1/2,z'
'-x+1/2,-y+1/2,-z'
'-x+1/2,y+1/2,-z'
'x+1/2,-y+1/2,z'
loop_
_atom_site_label
_atom_site_fract_x
_atom_site_fract_y
_atom_site_fract_z
Al1 0.0544 0.1903 0.2763
Al2 0.1587 0.0000 0.8453
Al3 0.2281 0.5000 0.5881
V1 0.1064 0.5000 0.0299
Ga1 0.0000 0.5000 0.5000

---

No. 3
# Al2V2Ga3 | Alexandria via LeMat-Bulk | GGA-PBE | optimized geometry
# Total energy in eV per atom: -5.09
# Total magnetic moment in μB per formula unit: 0.0
data_Al2V2Ga3
_chemical_formula_sum 'Al4 V4 Ga6'
_cell_length_a 10.0200
_cell_length_b 3.5021
_cell_length_c 6.3845
_cell_angle_alpha 90.00
_cell_angle_beta 106.93
_cell_angle_gamma 90.00
_space_group_name_H-M_alt 'C 1 2/m 1'
_space_group_IT_number 12
loop_
_space_group_symop_operation_xyz
'x,y,z'
'-x,-y,-z'
'-x,y,-z'
'x,-y,z'
'x+1/2,y+1/2,z'
'-x+1/2,-y+1/2,-z'
'-x+1/2,y+1/2,-z'
'x+1/2,-y+1/2,z'
loop_
_atom_site_label
_atom_site_fract_x
_atom_site_fract_y
_atom_site_fract_z
Al1 0.0773 0.0000 0.2062
V1 0.1522 0.5000 0.9344
Ga1 0.0000 0.5000 0.5000
Ga2 0.2038 0.0000 0.6515

---

No. 4
# Al3V12Ga | Alexandria via LeMat-Bulk | GGA-PBE | optimized geometry
# Total energy in eV per atom: -7.88
# Total magnetic moment in μB per formula unit: 0.0
data_Al3V12Ga
_chemical_formula_sum 'Al3 V12 Ga1'
_cell_length_a 4.7879
_cell_length_b 4.8704
_cell_length_c 9.4709
_cell_angle_alpha 90.00
_cell_angle_beta 90.00
_cell_angle_gamma 90.00
_space_group_name_H-M_alt 'P m m m'
_space_group_IT_number 47
loop_
_space_group_symop_operation_xyz
'x,y,z'
'-x,-y,-z'
'-x,-y,z'
'x,y,-z'
'x,-y,-z'
'-x,y,z'
'-x,y,-z'
'x,-y,z'
loop_
_atom_site_label
_atom_site_fract_x
_atom_site_fract_y
_atom_site_fract_z
Al1 0.0000 0.0000 0.0000
Al2 0.5000 0.5000 0.2500
V1 0.0000 0.2556 0.2496
V2 0.2383 0.5000 0.0000
V3 0.2425 0.5000 0.5000
V4 0.5000 0.0000 0.1297
V5 0.5000 0.0000 0.3722
Ga1 0.0000 0.0000 0.5000